! ZnC PBE relaxed; values from VASP
&SYSTEM
  ibrav = 0, nat = 6, ntyp = 2
/
ATOMIC_SPECIES
C 12.01 C.upf
Zn 65.41 Zn.upf
CELL_PARAMETERS angstrom
2.897 -5.017 0.000
2.897 5.017 0.000
0.000 0.000 2.395
ATOMIC_POSITIONS angstrom
C 3.767 0.000 0.000
Zn 2.897 1.672 1.198
C 1.013 1.755 0.000
Zn 0.000 0.000 0.000
Zn 2.897 -1.672 1.198
C 1.013 -1.755 0.000
! **E above lowest polymorph**: 1564 meV/atom
! **ΔE_f**: 3.292 eV per formula unit
! **D(E_F)**: 2.11 states/eV per cell
! **Calculated total energy**: -3.603 eV per atom